Density functional theory data (GGA-PBE) for SrPrY2 after structural relaxation.

For the energy relative to the elements, the calculation gives 0.109 eV/atom. The calculated total energy is -4.74 eV/atom. Its polymorph energy (0 for the lowest one) is 0.0 meV/atom.

```
SrPrY2
1.0
-1.321 0.499 3.450
-0.149 -2.872 2.372
10.815 1.877 5.882
Sr Pr Y
1 1 2
Direct
0.500 0.500 0.499 Sr
0.666 0.666 0.001 Pr
0.078 0.078 0.766 Y
0.255 0.255 0.234 Y
```

***

Density functional theory data (GGA-PBE) for SrPr6Y8 after structural relaxation.

For the energy relative to the elements, the calculation gives 0.210 eV/atom. The calculated total energy is -5.26 eV/atom.

```
SrPr6Y8
1.0
-6.684 -4.624 -2.108
-2.478 -4.192 6.841
-6.829 3.837 3.024
Sr Pr Y
1 6 8
Direct
0.000 0.000 0.000 Sr
0.171 0.434 0.616 Pr
0.384 0.829 0.566 Pr
0.566 0.384 0.829 Pr
0.434 0.616 0.171 Pr
0.616 0.171 0.434 Pr
0.829 0.566 0.384 Pr
0.136 0.620 0.946 Y
0.054 0.864 0.380 Y
0.380 0.054 0.864 Y
0.765 0.765 0.765 Y
0.235 0.235 0.235 Y
0.620 0.946 0.136 Y
0.946 0.136 0.620 Y
0.864 0.380 0.054 Y
```

***

Density functional theory data (GGA-PBE) for SrPr2Zn after structural relaxation.

For the energy relative to the elements, the calculation gives 0.031 eV/atom. The calculated total energy is -3.10 eV/atom. Its polymorph energy (0 for the lowest one) is 104.0 meV/atom.

```
SrPr2Zn
1.0
3.883 0.000 0.000
1.942 3.363 0.000
1.942 1.121 11.063
Sr Pr Zn
1 2 1
Direct
0.500 0.500 0.501 Sr
0.065 0.065 0.806 Pr
0.269 0.269 0.193 Pr
0.667 0.667 0.000 Zn
```

***

Density functional theory data (GGA-PBE) for SrPrZn2 after structural relaxation.

For the energy relative to the elements, the calculation gives -0.238 eV/atom. The calculated total energy is -2.49 eV/atom.

```
SrPrZn2
1.0
-0.358 0.687 -3.739
0.375 -3.731 -0.721
-7.508 -0.863 0.560
Pr Sr Zn
1 1 2
Direct
0.500 0.500 0.000 Pr
0.500 0.500 0.500 Sr
0.000 0.000 0.777 Zn
0.000 0.000 0.223 Zn
```

***

Density functional theory data (GGA-PBE) for SrPr4Zn5 after structural relaxation.

For the energy relative to the elements, the calculation gives -0.277 eV/atom. The calculated total energy is -2.99 eV/atom.

```
SrPr4Zn5
1.0
-1.896 3.144 -0.743
-2.472 -0.857 2.681
10.436 9.271 12.588
Sr Pr Zn
1 4 5
Direct
0.000 0.000 0.000 Sr
0.000 0.000 0.206 Pr
0.000 0.000 0.402 Pr
0.000 0.000 0.598 Pr
0.000 0.000 0.794 Pr
0.500 0.500 0.113 Zn
0.500 0.500 0.304 Zn
0.500 0.500 0.500 Zn
0.500 0.500 0.696 Zn
0.500 0.500 0.887 Zn
```

***

Density functional theory data (GGA-PBE) for SrPr2Zn after structural relaxation.

For the energy relative to the elements, the calculation gives -0.073 eV/atom. The calculated total energy is -3.20 eV/atom. Its polymorph energy (0 for the lowest one) is 0.0 meV/atom.

```
SrPr2Zn
1.0
3.833 0.000 0.000
0.000 3.833 0.000
0.000 0.000 9.479
Pr Sr Zn
2 1 1
Direct
0.000 0.000 0.820 Pr
0.000 0.000 0.180 Pr
0.500 0.500 0.500 Sr
0.500 0.500 0.000 Zn
```

***

Density functional theory data (GGA-PBE) for SrPr2Zn2 after structural relaxation.

For the energy relative to the elements, the calculation gives -0.117 eV/atom. The calculated total energy is -2.87 eV/atom.

```
SrPr2Zn2
1.0
3.738 0.000 0.000
0.000 3.734 0.707
0.000 -0.108 10.779
Sr Pr Zn
1 2 2
Direct
0.000 0.000 0.000 Sr
0.000 0.176 0.648 Pr
0.000 0.824 0.352 Pr
0.500 0.401 0.197 Zn
0.500 0.599 0.803 Zn
```

***

Density functional theory data (GGA-PBE) for SrPr2Zn after structural relaxation.

For the energy relative to the elements, the calculation gives 0.132 eV/atom. The calculated total energy is -3.00 eV/atom. Its polymorph energy (0 for the lowest one) is 205.2 meV/atom.

```
SrPr2Zn
1.0
-2.256 2.594 1.594
-3.618 -0.841 0.752
1.182 -3.298 11.544
Pr Sr Zn
2 1 1
Direct
0.106 0.106 0.683 Pr
0.894 0.894 0.317 Pr
0.000 0.000 0.000 Sr
0.500 0.500 0.500 Zn
```

***

Q: What is the calculated total energy in the fifth record?
A: -2.99 eV/atom

***

What did the fifth record say?
Density functional theory data (GGA-PBE) for SrPr4Zn5 after structural relaxation.

For the energy relative to the elements, the calculation gives -0.277 eV/atom. The calculated total energy is -2.99 eV/atom.

```
SrPr4Zn5
1.0
-1.896 3.144 -0.743
-2.472 -0.857 2.681
10.436 9.271 12.588
Sr Pr Zn
1 4 5
Direct
0.000 0.000 0.000 Sr
0.000 0.000 0.206 Pr
0.000 0.000 0.402 Pr
0.000 0.000 0.598 Pr
0.000 0.000 0.794 Pr
0.500 0.500 0.113 Zn
0.500 0.500 0.304 Zn
0.500 0.500 0.500 Zn
0.500 0.500 0.696 Zn
0.500 0.500 0.887 Zn
```

***

Q: What is the formula in the fourth record?
A: SrPrZn2